Record 1
First-principles (GGA-PBE) data for an optimized crystal structure of Ac3TlSn2Pd8, as listed in Alexandria.

abc: 5.7161 5.7161 11.1385
angles: 90.00 90.00 120.00
Space group P-3m1 (No. 164)
One atom of each set of equivalent atoms:
Ac (0.0000, 0.0000, 0.0000) x1
Ac (0.3333, 0.6667, 0.5985) x2
Tl (0.0000, 0.0000, 0.5000) x1
Sn (0.3333, 0.6667, 0.1048) x2
Pd (0.1642, 0.3284, 0.2885) x6
Pd (0.3333, 0.6667, 0.8673) x2

Properties
theoretical density: 10.401 g/cm3
volume: 22.5 A^3/atom


Record 2
First-principles (GGA-PBE) data for an optimized crystal structure of AcTlSnPd, as listed in Alexandria.

abc: 7.5168 7.5168 7.5168
angles: 90.00 90.00 90.00
Space group F-43m (No. 216)
One atom of each set of equivalent atoms:
Ac (0.0000, 0.0000, 0.0000) x4
Tl (0.2500, 0.2500, 0.7500) x4
Sn (0.0000, 0.0000, 0.5000) x4
Pd (0.2500, 0.2500, 0.2500) x4

Properties
theoretical density: 10.267 g/cm3
volume: 26.5 A^3/atom


Record 3
First-principles (GGA-PBE) data for an optimized crystal structure of Ac3Tl2SnPd6, as listed in Alexandria.

abc: 6.0849 6.0849 8.9884
angles: 90.00 90.00 120.00
Space group P-3m1 (No. 164)
One atom of each set of equivalent atoms:
Ac (0.0000, 0.0000, 0.0000) x1
Ac (0.3333, 0.6667, 0.6151) x2
Tl (0.3333, 0.6667, 0.0051) x2
Sn (0.0000, 0.0000, 0.5000) x1
Pd (0.1778, 0.3555, 0.2796) x6

Properties
theoretical density: 10.641 g/cm3
volume: 24.0 A^3/atom


Record 4
First-principles (GGA-PBE) data for an optimized crystal structure of Ac3TlSn2Pd9, as listed in Alexandria.

abc: 6.6843 6.6843 10.3389
angles: 90.00 90.00 120.00
Space group P-3m1 (No. 164)
One atom of each set of equivalent atoms:
Ac (0.0000, 0.0000, 0.0000) x1
Ac (0.3333, 0.6667, 0.7491) x2
Tl (0.0000, 0.0000, 0.5000) x1
Sn (0.3333, 0.6667, 0.1770) x2
Pd (0.0000, 0.5000, 0.0000) x3
Pd (0.1340, 0.2679, 0.2784) x6

Properties
theoretical density: 8.636 g/cm3
volume: 26.7 A^3/atom


Record 5
First-principles (GGA-PBE) data for an optimized crystal structure of Ac2TmSn4Pd3, as listed in Alexandria.

abc: 4.5792 4.5792 12.2493
angles: 90.00 90.00 90.00
Space group P-4m2 (No. 115)
One atom of each set of equivalent atoms:
Ac (0.0000, 0.5000, 0.2341) x2
Tm (0.0000, 0.0000, 0.5000) x1
Sn (0.0000, 0.0000, 0.0000) x1
Sn (0.0000, 0.5000, 0.6548) x2
Sn (0.5000, 0.5000, 0.0000) x1
Pd (0.0000, 0.5000, 0.8752) x2
Pd (0.5000, 0.5000, 0.5000) x1

Properties
theoretical density: 9.161 g/cm3
volume: 25.7 A^3/atom


Record 6
First-principles (GGA-PBE) data for an optimized crystal structure of Ac2TmSn3Pd6, as listed in Alexandria.

abc: 4.2652 4.2652 17.2690
angles: 90.00 90.00 90.00
Space group P4/mmm (No. 123)
One atom of each set of equivalent atoms:
Ac (0.0000, 0.0000, 0.1870) x2
Tm (0.0000, 0.0000, 0.5000) x1
Sn (0.5000, 0.5000, 0.0000) x1
Sn (0.5000, 0.5000, 0.3027) x2
Pd (0.0000, 0.5000, 0.3935) x4
Pd (0.5000, 0.5000, 0.1480) x2

Properties
theoretical density: 8.550 g/cm3
volume: 26.2 A^3/atom


Record 7
First-principles (GGA-PBE) data for an optimized crystal structure of Ac2TmSnPd6, as listed in Alexandria.

abc: 5.7726 6.6856 7.0868
angles: 112.62 98.66 108.29
Space group P-1 (No. 2)
One atom of each set of equivalent atoms:
Ac (0.0202, 0.1641, 0.3116) x2
Tm (0.5000, 0.5000, 0.0000) x1
Sn (0.5000, 0.0000, 0.5000) x1
Pd (0.0238, 0.6098, 0.2292) x2
Pd (0.3425, 0.8613, 0.0695) x2
Pd (0.4087, 0.6411, 0.6592) x2

Properties
theoretical density: 10.054 g/cm3
volume: 22.8 A^3/atom


Record 8
First-principles (GGA-PBE) data for an optimized crystal structure of AcTmSnPd, as listed in Alexandria.

abc: 7.6143 7.6143 7.6143
angles: 90.00 90.00 90.00
Space group F-43m (No. 216)
One atom of each set of equivalent atoms:
Ac (0.0000, 0.0000, 0.0000) x4
Tm (0.0000, 0.0000, 0.5000) x4
Sn (0.2500, 0.2500, 0.7500) x4
Pd (0.2500, 0.2500, 0.2500) x4

Properties
theoretical density: 9.344 g/cm3
volume: 27.6 A^3/atom


Number 1: DFT total energy -5.20 eV/atom, ΔH_f (0 K) -59.0 kJ/mol of atoms. Number 2: DFT total energy -4.36 eV/atom, ΔH_f (0 K) -43.1 kJ/mol of atoms. Number 3: DFT total energy -5.02 eV/atom, ΔH_f (0 K) -64.8 kJ/mol of atoms. Number 4: DFT total energy -5.13 eV/atom, ΔH_f (0 K) -48.7 kJ/mol of atoms. Number 5: DFT total energy -5.21 eV/atom, ΔH_f (0 K) -75.4 kJ/mol of atoms. Number 6: DFT total energy -5.23 eV/atom, ΔH_f (0 K) -55.7 kJ/mol of atoms. Number 7: DFT total energy -5.50 eV/atom, ΔH_f (0 K) -68.9 kJ/mol of atoms. Number 8: DFT total energy -5.06 eV/atom, ΔH_f (0 K) -59.8 kJ/mol of atoms.